Entry 1:
Below is an optimized crystal structure of PuZr4In, with properties calculated at the PBE-GGA level.

Structure (extended XYZ):
```
12
Lattice="3.088 0.000 0.000 -1.544 8.157 0.000 0.000 0.000 10.678" Properties=species:S:1:pos:R:3 pbc="T T T"
Pu 1.544 2.494 8.257
Pu 0.000 5.663 2.918
Zr 0.000 0.197 2.917
Zr 1.544 7.960 8.255
Zr 1.544 6.354 0.273
Zr 0.000 1.804 5.612
Zr 1.544 3.100 2.759
Zr 0.000 5.057 8.097
Zr 0.000 7.209 5.513
Zr 1.544 0.948 0.174
In 1.544 4.468 5.492
In 0.000 3.689 0.153
```

Computed properties:
* calculated volume: 269 Å³ per cell
* N(E_F): 1.996 states/eV/atom
* ρ: 8.9 g cm⁻³
* symmetry: No. 36
* ΔE_f: 0.23 eV per atom



Entry 2:
Below is an optimized crystal structure of Pu2CuSe, with properties calculated at the PBE-GGA level.

Structure (extended XYZ):
```
4
Lattice="3.602 0.000 0.000 1.801 3.119 0.000 1.801 1.040 9.606" Properties=species:S:1:pos:R:3 pbc="T T T"
Cu 0.000 0.000 0.000
Se 3.602 2.080 4.803
Pu 1.801 1.040 6.784
Pu 5.403 3.119 2.822
```

Computed properties:
* formation energy (no corrections): -0.016 eV per atom
* energy relative to the lowest polymorph listed for this composition: 532.0 meV per atom
* calculated volume: 108 Å³ per cell
* N(E_F): 4.241 states/eV/atom
* ρ: 9.7 g cm⁻³
* symmetry: No. 166



Entry 3:
Below is an optimized crystal structure of Ca2MgAg6, with properties calculated at the PBE-GGA level.

Structure (extended XYZ):
```
9
Lattice="3.374 0.001 0.002 0.005 7.167 4.120 0.004 0.013 8.267" Properties=species:S:1:pos:R:3 pbc="T T T"
Ca 0.003 2.393 4.128
Ca 3.380 4.788 8.260
Mg 0.000 0.000 0.000
Ag 1.690 4.812 11.026
Ag 1.692 0.005 2.733
Ag 1.693 2.369 1.363
Ag 1.691 4.802 5.492
Ag 1.690 7.176 9.655
Ag 1.691 2.378 6.897
```

Computed properties:
* calculated volume: 200 Å³ per cell
* N(E_F): 0.414 states/eV/atom
* ρ: 6.2 g cm⁻³
* symmetry: No. 12
* ΔE_f: -0.16 eV per atom



Entry 4:
Below is an optimized crystal structure of Pr3UIn3Se8, with properties calculated at the PBE-GGA level.

Structure (extended XYZ):
```
15
Lattice="-6.827 3.898 -3.395 -0.389 -3.167 7.946 5.000 7.584 -1.349" Properties=species:S:1:pos:R:3 pbc="T T T"
Pr -0.914 5.741 -2.372
Pr -1.108 4.157 1.601
Pr 2.306 2.208 3.298
U 2.500 3.792 -0.675
In 0.000 0.000 0.000
In -0.194 -1.584 3.973
In -3.608 0.365 2.276
Se -0.570 1.508 2.879
Se -1.645 6.806 0.323
Se -4.025 3.497 1.308
Se 1.809 4.817 1.893
Se -3.821 5.158 -2.861
Se 1.605 3.156 6.063
Se -0.238 3.113 -1.080
Se -1.978 5.201 4.282
```

Computed properties:
* formation energy (no corrections): -1.253 eV per atom
* calculated volume: 491 Å³ per cell
* N(E_F): 0.387 states/eV/atom
* ρ: 5.5 g cm⁻³
* symmetry: No. 166